Entry from Alexandria: a relaxed structure of SmPuPt4 (PBE-GGA).

Lattice parameters (Å, degrees): 5.4750 5.4750 5.4750 60.00 60.00 60.00
Closest atoms and distances in Å follow each position.
Sites, in units of the cell vectors:
Pt 0.6253 0.6253 0.1242  6 Pt 2.73-2.74
Pt 0.6253 0.6253 0.6253  6 Pt 2.73-2.74
Pt 0.6253 0.1242 0.6253  6 Pt 2.73-2.74
Pt 0.1242 0.6253 0.6253  6 Pt 2.73-2.74
Pu 0.0000 0.0000 0.0000  12 Pt 3.21, 4 Sm 3.35
Sm 0.2500 0.2500 0.2500  12 Pt 3.21, 4 Pu 3.35

Its energy relative to the elements is -0.9519 eV/atom. Its space group is F-43m.

Entry from Alexandria: a relaxed structure of PmY2TmSc (PBE-GGA).

Lattice parameters (Å, degrees): 7.1194 8.1961 6.9409 126.19 90.00 90.00
Closest atoms and distances in Å follow each position.
Sites, in units of the cell vectors:
Pm 0.7500 0.2676 0.5352  1 Sc 2.95
Pm 0.2500 0.7324 0.4648  1 Sc 2.95
Y 0.5000 0.6981 0.0000  2 Sc 3.05, 1 Y 3.25
Y 0.5000 0.3019 0.0000  2 Sc 3.05, 1 Y 3.25
Y 0.0000 0.6981 0.0000  2 Sc 3.05, 1 Y 3.25
Y 0.0000 0.3019 0.0000  2 Sc 3.05, 1 Y 3.25
Tm 0.7500 0.7328 0.4655  1 Sc 3.04
Tm 0.2500 0.2672 0.5345  1 Sc 3.04
Sc 0.7500 0.0039 0.0078  1 Pm 2.95, 1 Tm 3.04, 4 Y 3.05
Sc 0.2500 0.9961 0.9922  1 Pm 2.95, 1 Tm 3.04, 4 Y 3.05

Its energy relative to the elements is 0.3432 eV/atom. Its space group is Cmcm.

Entry from Alexandria: a relaxed structure of As2IrCl (PBE-GGA).

Lattice parameters (Å, degrees): 9.0390 9.0390 9.0390 20.78 20.78 20.78
Closest atoms and distances in Å follow each position.
Sites, in units of the cell vectors:
As 0.0170 0.0170 0.0170  3 Ir 2.41
As 0.2658 0.2658 0.2658  9 As 2.93-3.26
Cl 0.4768 0.4768 0.4768  3 Ir 2.64
Ir 0.7404 0.7404 0.7404  3 As 2.41, 3 Cl 2.64

Its space group is R3m. As for the uncorrected formation energy: 0.22 eV per atom. The energy above the most stable polymorph in this dataset is 469 meV/atom.

Repeat the first record exactly.
Entry from Alexandria: a relaxed structure of SmPuPt4 (PBE-GGA).

Lattice parameters (Å, degrees): 5.4750 5.4750 5.4750 60.00 60.00 60.00
Closest atoms and distances in Å follow each position.
Sites, in units of the cell vectors:
Pt 0.6253 0.6253 0.1242  6 Pt 2.73-2.74
Pt 0.6253 0.6253 0.6253  6 Pt 2.73-2.74
Pt 0.6253 0.1242 0.6253  6 Pt 2.73-2.74
Pt 0.1242 0.6253 0.6253  6 Pt 2.73-2.74
Pu 0.0000 0.0000 0.0000  12 Pt 3.21, 4 Sm 3.35
Sm 0.2500 0.2500 0.2500  12 Pt 3.21, 4 Pu 3.35

Its energy relative to the elements is -0.9519 eV/atom. Its space group is F-43m.